(1)
DFT (PBE) results for a relaxed Sc2V2Pd crystal.

Magnetic moment   3.20 Bohr magnetons per cell
Density of states at the Fermi level   12.94 states/eV/cell
ΔH_f (0 K)   0.20 eV/f.u.

The structure in CIF format:
```
data_Sc2V2Pd
_cell_length_a 6.440
_cell_length_b 6.440
_cell_length_c 4.412
_cell_angle_alpha 90.00
_cell_angle_beta 90.00
_cell_angle_gamma 90.00
_space_group_name_H-M_alt 'P 4/m b m'
_space_group_IT_number 127
_space_group_name_Hall '-P 4 2ab'
loop_
_atom_site_label
_atom_site_type_symbol
_atom_site_fract_x
_atom_site_fract_y
_atom_site_fract_z
Sc1 Sc 0.174 0.326 0.000
V1 V 0.119 0.619 0.500
Pd1 Pd 0.000 0.000 0.500
```

***

(2)
DFT (PBE) results for a relaxed CaH6Rh3 crystal.

Total DFT energy (no corrections)   -4.6489 eV per atom
Magnetic moment   0.00 Bohr magnetons per cell
Density of states at the Fermi level   12.04 states/eV/cell

The structure in CIF format:
```
data_CaH6Rh3
_cell_length_a 4.9491
_cell_length_b 4.9491
_cell_length_c 12.0957
_cell_angle_alpha 90.00
_cell_angle_beta 90.00
_cell_angle_gamma 120.00
_space_group_name_H-M_alt 'R 3'
_space_group_IT_number 146
_space_group_name_Hall 'R 3'
loop_
_atom_site_label
_atom_site_type_symbol
_atom_site_fract_x
_atom_site_fract_y
_atom_site_fract_z
Ca1 Ca 0.0000 0.0000 0.0000
H1 H 0.0410 0.3353 0.8301
H2 H 0.1619 0.8054 0.3209
Rh1 Rh 0.0000 0.0000 0.2471
Rh2 Rh 0.0000 0.0000 0.5050
Rh3 Rh 0.0000 0.0000 0.7514
```

***

(3)
DFT (PBE) results for a relaxed CaVBSe crystal.

Magnetic moment   0.00 Bohr magnetons per cell
ΔE to the lowest computed polymorph   33 meV per atom

The structure in CIF format:
```
data_CaVBSe
_cell_length_a 3.5137
_cell_length_b 3.5137
_cell_length_c 19.0663
_cell_angle_alpha 90.00
_cell_angle_beta 90.00
_cell_angle_gamma 120.00
_space_group_name_H-M_alt 'R 3 m'
_space_group_IT_number 160
_space_group_name_Hall 'R 3 -2"'
loop_
_atom_site_label
_atom_site_type_symbol
_atom_site_fract_x
_atom_site_fract_y
_atom_site_fract_z
Ca1 Ca 0.0000 0.0000 0.0000
V1 V 0.0000 0.0000 0.5287
B1 B 0.0000 0.0000 0.2407
Se1 Se 0.0000 0.0000 0.7778
```

***

(4)
DFT (PBE) results for a relaxed LaZrSb crystal.

Total DFT energy (no corrections)   -6.3764 eV per atom
Magnetic moment   0.00 Bohr magnetons per cell
Density of states at the Fermi level   5.33 states/eV/cell

The structure in CIF format:
```
data_LaZrSb
_cell_length_a 3.890
_cell_length_b 3.890
_cell_length_c 11.110
_cell_angle_alpha 90.00
_cell_angle_beta 90.00
_cell_angle_gamma 90.00
_space_group_name_H-M_alt 'I 4 m m'
_space_group_IT_number 107
_space_group_name_Hall 'I 4 -2'
loop_
_atom_site_label
_atom_site_type_symbol
_atom_site_fract_x
_atom_site_fract_y
_atom_site_fract_z
La1 La 0.000 0.000 0.000
Zr1 Zr 0.000 0.000 0.300
Sb1 Sb 0.000 0.000 0.694
```

***

(5)
DFT (PBE) results for a relaxed MgMnRh6 crystal.

Magnetic moment   3.98 Bohr magnetons per cell
Density of states at the Fermi level   11.40 states/eV/cell
ΔH_f (0 K)   -0.34 eV/f.u.

The structure in CIF format:
```
data_MgMnRh6
_cell_length_a 4.533
_cell_length_b 4.533
_cell_length_c 5.656
_cell_angle_alpha 90.00
_cell_angle_beta 90.00
_cell_angle_gamma 90.00
_space_group_name_H-M_alt 'P 4/m m m'
_space_group_IT_number 123
_space_group_name_Hall '-P 4 2'
loop_
_atom_site_label
_atom_site_type_symbol
_atom_site_fract_x
_atom_site_fract_y
_atom_site_fract_z
Mg1 Mg 0.000 0.000 0.000
Mn1 Mn 0.000 0.000 0.500
Rh1 Rh 0.000 0.500 0.256
Rh2 Rh 0.500 0.500 0.000
Rh3 Rh 0.500 0.500 0.500
```

***

(6)
DFT (PBE) results for a relaxed BPIrC2 crystal.

Magnetic moment   0.00 Bohr magnetons per cell
Density of states at the Fermi level   1.22 states/eV/cell
ΔH_f (0 K)   1.86 eV/f.u.
ΔE to the lowest computed polymorph   28 meV per atom

The structure in CIF format:
```
data_BPIrC2
_cell_length_a 7.505
_cell_length_b 2.811
_cell_length_c 5.630
_cell_angle_alpha 90.00
_cell_angle_beta 119.18
_cell_angle_gamma 90.00
_space_group_name_H-M_alt 'C 1 m 1'
_space_group_IT_number 8
loop_
_space_group_symop_operation_xyz
'x,y,z'
'x,-y,z'
'x+1/2,y+1/2,z'
'x+1/2,-y+1/2,z'
loop_
_atom_site_label
_atom_site_type_symbol
_atom_site_fract_x
_atom_site_fract_y
_atom_site_fract_z
B1 B 0.000 0.000 0.000
P1 P 0.291 0.500 0.317
Ir1 Ir 0.171 0.500 0.853
C1 C 0.066 0.000 0.533
C2 C 0.148 0.000 0.338
```